Th4Tl2Te9, relaxed, DFT PBE; formation energy without anion corrections = -956 meV per atom; space group = P-3c1; mass density = 6.6 Mg/m³
1.0
8.113 0.002 0.018
4.056 7.023 0.044
-0.045 -0.110 21.925
Te Tl Th
18 4 8
Cartesian
9.559 2.749 9.126
6.745 2.316 5.510
1.685 2.658 1.889
10.803 4.654 5.527
10.438 4.256 20.098
5.726 4.312 9.126
7.167 6.795 20.105
6.605 2.694 20.082
1.321 2.261 16.460
6.398 2.602 12.861
2.565 4.166 12.860
5.378 4.598 16.476
3.127 0.065 12.841
5.373 -0.081 16.455
5.518 4.220 1.905
6.751 6.996 5.532
8.997 6.849 9.146
4.957 0.119 1.882
4.017 6.927 18.626
8.084 -0.069 14.322
8.107 -0.013 3.360
4.040 6.983 7.665
8.076 4.594 17.937
8.098 4.648 6.975
4.025 2.267 15.012
8.111 4.682 0.233
4.012 2.233 21.754
4.034 2.288 10.791
4.048 2.320 4.050
8.090 4.626 11.196